! LiInOs3 PBE optimized geometry; values from VASP
! Space-group type ... Pm-3m, No. 221
! E ... -6.3072 eV/atom
&SYSTEM
  ibrav = 0, nat = 5, ntyp = 3
/
ATOMIC_SPECIES
Os 190.23 Os.upf
Li 6.94 Li.upf
In 114.82 In.upf
CELL_PARAMETERS angstrom
4.212 0.000 0.000
0.000 4.212 0.000
0.000 0.000 4.212
ATOMIC_POSITIONS crystal
Os 0.500 0.000 0.000
Li 0.000 0.000 0.000
In 0.500 0.500 0.500
Os 0.000 0.000 0.500
Os 0.000 0.500 0.000

***

! LiIn2Os2 PBE optimized geometry; values from VASP
! Space-group type ... I4/mmm, No. 139
! E ... -5.4655 eV/atom
&SYSTEM
  ibrav = 0, nat = 5, ntyp = 3
/
ATOMIC_SPECIES
In 114.82 In.upf
Os 190.23 Os.upf
Li 6.94 Li.upf
CELL_PARAMETERS angstrom
3.706 0.000 0.000
0.000 3.706 0.000
1.853 1.853 7.122
ATOMIC_POSITIONS crystal
In 0.398 0.398 0.204
In 0.602 0.602 0.796
Os 0.250 0.750 0.500
Li 0.000 0.000 0.000
Os 0.750 0.250 0.500

***

! Li3InOs PBE optimized geometry; values from VASP
! Space-group type ... Pm-3m, No. 221
! E ... -3.0805 eV/atom
&SYSTEM
  ibrav = 0, nat = 5, ntyp = 3
/
ATOMIC_SPECIES
Li 6.94 Li.upf
Os 190.23 Os.upf
In 114.82 In.upf
CELL_PARAMETERS angstrom
-2.729 3.801 -0.511
-3.185 -1.897 2.900
2.136 2.027 3.672
ATOMIC_POSITIONS crystal
Li 0.500 0.000 0.000
Li 0.000 0.500 0.000
Li 0.000 0.000 0.500
Os 0.000 0.000 0.000
In 0.500 0.500 0.500

***

! LiIn2Os2 PBE optimized geometry; values from VASP
! Space-group type ... I4/mmm, No. 139
! E ... -5.3903 eV/atom
&SYSTEM
  ibrav = 0, nat = 5, ntyp = 3
/
ATOMIC_SPECIES
Os 190.23 Os.upf
In 114.82 In.upf
Li 6.94 Li.upf
CELL_PARAMETERS angstrom
4.966 0.000 0.000
0.000 4.966 0.000
2.483 2.483 4.427
ATOMIC_POSITIONS crystal
Os 0.628 0.628 0.743
Os 0.372 0.372 0.257
In 0.250 0.750 0.500
In 0.750 0.250 0.500
Li 0.000 0.000 0.000

***

! Li4InOs PBE optimized geometry; values from VASP
! Space-group type ... F-43m, No. 216
! E ... -3.4038 eV/atom
&SYSTEM
  ibrav = 0, nat = 6, ntyp = 3
/
ATOMIC_SPECIES
Li 6.94 Li.upf
Os 190.23 Os.upf
In 114.82 In.upf
CELL_PARAMETERS angstrom
0.000 3.473 3.473
3.473 0.000 3.473
3.473 3.473 0.000
ATOMIC_POSITIONS crystal
Li 0.378 0.378 0.867
Li 0.378 0.867 0.378
Os 0.750 0.750 0.750
Li 0.867 0.378 0.378
Li 0.378 0.378 0.378
In 0.000 0.000 0.000

***

! LiIn2Os2 PBE optimized geometry; values from VASP
! Space-group type ... P4/mbm, No. 127
! E ... -5.5520 eV/atom
&SYSTEM
  ibrav = 0, nat = 10, ntyp = 3
/
ATOMIC_SPECIES
Os 190.23 Os.upf
In 114.82 In.upf
Li 6.94 Li.upf
CELL_PARAMETERS angstrom
-5.249 -6.001 -0.231
1.345 -1.473 7.723
-2.169 1.869 0.734
ATOMIC_POSITIONS crystal
Os 0.889 0.611 0.000
Os 0.611 0.111 0.000
In 0.317 0.183 0.500
In 0.183 0.683 0.500
In 0.817 0.317 0.500
Os 0.111 0.389 0.000
Li 0.500 0.500 0.000
In 0.683 0.817 0.500
Li 0.000 0.000 0.000
Os 0.389 0.889 0.000

***

! LiPuInOs PBE optimized geometry; values from VASP
! Space-group type ... F-43m, No. 216
! E ... -7.5140 eV/atom
&SYSTEM
  ibrav = 0, nat = 4, ntyp = 4
/
ATOMIC_SPECIES
Pu 244.00 Pu.upf
Os 190.23 Os.upf
Li 6.94 Li.upf
In 114.82 In.upf
CELL_PARAMETERS angstrom
4.755 0.000 0.000
2.377 4.118 0.000
2.377 1.373 3.882
ATOMIC_POSITIONS crystal
Pu 0.500 0.500 0.500
Os 0.750 0.750 0.750
Li 0.250 0.250 0.250
In 0.000 0.000 0.000

***

! LiIn2OsS PBE optimized geometry; values from VASP
! Space-group type ... P4/mmm, No. 123
! Uncorrected formation energy ... 971 meV per atom
&SYSTEM
  ibrav = 0, nat = 5, ntyp = 4
/
ATOMIC_SPECIES
Os 190.23 Os.upf
In 114.82 In.upf
S 32.06 S.upf
Li 6.94 Li.upf
CELL_PARAMETERS angstrom
-0.493 3.146 -3.532
-3.853 -1.644 -0.926
-2.032 3.066 3.015
ATOMIC_POSITIONS crystal
Os 0.000 0.500 0.000
In 0.000 0.000 0.500
S 0.500 0.500 0.500
Li 0.000 0.000 0.000
In 0.500 0.000 0.000

***

! LiScInOs PBE optimized geometry; values from VASP
! Space-group type ... F-43m, No. 216
! E ... -5.7477 eV/atom
&SYSTEM
  ibrav = 0, nat = 4, ntyp = 4
/
ATOMIC_SPECIES
Sc 44.96 Sc.upf
Li 6.94 Li.upf
In 114.82 In.upf
Os 190.23 Os.upf
CELL_PARAMETERS angstrom
-1.963 3.939 -1.384
0.159 1.219 -4.447
-3.836 -0.110 -2.561
ATOMIC_POSITIONS crystal
Sc 0.750 0.750 0.750
Li 0.000 0.000 0.000
In 0.250 0.250 0.250
Os 0.500 0.500 0.500

***

! LiInSiOs2 PBE optimized geometry; values from VASP
! Space-group type ... P4/mmm, No. 123
! Uncorrected formation energy ... 1301 meV per atom
&SYSTEM
  ibrav = 0, nat = 5, ntyp = 4
/
ATOMIC_SPECIES
Si 28.09 Si.upf
Os 190.23 Os.upf
In 114.82 In.upf
Li 6.94 Li.upf
CELL_PARAMETERS angstrom
4.291 0.000 0.000
0.000 4.291 0.000
0.000 0.000 4.144
ATOMIC_POSITIONS crystal
Si 0.500 0.500 0.500
Os 0.500 0.000 0.000
In 0.000 0.000 0.500
Li 0.000 0.000 0.000
Os 0.000 0.500 0.000

***

! LiTaInOs PBE optimized geometry; values from VASP
! Space-group type ... F-43m, No. 216
! E ... -7.0182 eV/atom
&SYSTEM
  ibrav = 0, nat = 4, ntyp = 4
/
ATOMIC_SPECIES
Li 6.94 Li.upf
Os 190.23 Os.upf
In 114.82 In.upf
Ta 180.95 Ta.upf
CELL_PARAMETERS angstrom
4.508 0.000 0.000
2.254 3.904 0.000
2.254 1.301 3.681
ATOMIC_POSITIONS crystal
Li 0.000 0.000 0.000
Os 0.500 0.500 0.500
In 0.250 0.250 0.250
Ta 0.750 0.750 0.750

***

! LiTmInOs PBE optimized geometry; values from VASP
! Space-group type ... F-43m, No. 216
! E ... -5.2483 eV/atom
&SYSTEM
  ibrav = 0, nat = 4, ntyp = 4
/
ATOMIC_SPECIES
Tm 168.93 Tm.upf
Os 190.23 Os.upf
Li 6.94 Li.upf
In 114.82 In.upf
CELL_PARAMETERS angstrom
4.727 0.000 0.000
2.363 4.093 0.000
2.363 1.364 3.859
ATOMIC_POSITIONS crystal
Tm 0.250 0.250 0.250
Os 0.500 0.500 0.500
Li 0.000 0.000 0.000
In 0.750 0.750 0.750